Entry 1:
The following is a DFT calculation (PBE) of crystalline Li2AcCd5 at its relaxed geometry.

Formation energy   -213 meV per atom

a = 4.4322 Å, b = 7.9469 Å, c = 10.6601 Å
α = 90.00°, β = 90.00°, γ = 90.00°
Closest atoms and distances in Å follow each position.
Space group Immm (No. 71)
Asymmetric unit:
Li (0.0000, 0.0000, 0.2472) (multiplicity 4)  7 Cd 2.63-2.90
Ac (0.0000, 0.5000, 0.0000) (multiplicity 2)  4 Li 3.49, 8 Cd 3.65
Cd (0.0000, 0.0000, 0.0000) (multiplicity 2)  2 Li 2.63
Cd (0.0000, 0.3065, 0.3520) (multiplicity 8)  3 Li 2.68-2.90

---

Entry 2:
The following is a DFT calculation (PBE) of crystalline LiAc4Cd5 at its relaxed geometry.

Formation energy   -252 meV per atom

a = 4.0067 Å, b = 4.0067 Å, c = 19.6674 Å
α = 90.00°, β = 90.00°, γ = 90.00°
Closest atoms and distances in Å follow each position.
Space group P4/mmm (No. 123)
Asymmetric unit:
Li (0.0000, 0.0000, 0.0000) (multiplicity 1)  8 Cd 3.20
Ac (0.0000, 0.0000, 0.1841) (multiplicity 2)  8 Cd 3.51-3.55, 1 Li 3.62
Ac (0.0000, 0.0000, 0.3937) (multiplicity 2)  8 Cd 3.50-3.52
Cd (0.5000, 0.5000, 0.0757) (multiplicity 2)  1 Cd 2.98, 4 Li 3.20
Cd (0.5000, 0.5000, 0.2894) (multiplicity 2)  8 Ac 3.50-3.51
Cd (0.5000, 0.5000, 0.5000) (multiplicity 1)  8 Ac 3.52

---

Entry 3:
The following is a DFT calculation (PBE) of crystalline Li4AcCd2 at its relaxed geometry.

E above lowest polymorph   0.0 meV per atom
Formation energy   -87 meV per atom

a = 4.0695 Å, b = 4.0695 Å, c = 10.0372 Å
α = 90.00°, β = 90.00°, γ = 90.00°
Closest atoms and distances in Å follow each position.
Space group P-4m2 (No. 115)
Asymmetric unit:
Li (0.0000, 0.0000, 0.0000) (multiplicity 1)  8 Li 2.88-2.96, 4 Cd 2.95
Li (0.0000, 0.5000, 0.2147) (multiplicity 2)  4 Cd 2.88, 4 Li 2.96
Li (0.5000, 0.5000, 0.0000) (multiplicity 1)  8 Li 2.88-2.96, 4 Cd 2.95
Ac (0.5000, 0.5000, 0.5000) (multiplicity 1)  4 Li 3.51, 4 Cd 3.52
Cd (0.0000, 0.5000, 0.7865) (multiplicity 2)  8 Li 2.88-2.95